DFT (PBE with a Hubbard U) results for a geometry-optimized MnAuN2F structure.

a = 3.7187 Å, b = 3.7187 Å, c = 4.0149 Å
α = 90.00°, β = 90.00°, γ = 90.00°
With the nearest neighbours (Å) after each atom.
Fractional coordinates of all 5 atoms:
Mn  0.0000  0.0000  0.0000  4 N 1.86, 2 F 2.01
Au  0.5000  0.5000  0.5000  4 F 2.63, 8 N 2.74
N  0.0000  0.5000  0.0000  2 Mn 1.86
N  0.5000  0.0000  0.0000  2 Mn 1.86
F  0.0000  0.0000  0.5000  2 Mn 2.01

Summary:
The calculation puts the polymorph energy (0 for the lowest one) at 0.000 eV/atom. Its space-group type is P4/mmm, No. 123.


DFT (PBE with a Hubbard U) results for a geometry-optimized MnAuNF2 structure.

a = 4.6101 Å, b = 4.6101 Å, c = 3.8337 Å
α = 90.00°, β = 90.00°, γ = 90.00°
With the nearest neighbours (Å) after each atom.
Fractional coordinates of all 5 atoms:
Mn  0.0000  0.0000  0.0000  8 F 3.00, 4 N 3.26
Au  0.5000  0.5000  0.5000  2 N 1.92
N  0.5000  0.5000  0.0000  2 Au 1.92
F  0.0000  0.5000  0.5000  2 Au 2.31
F  0.5000  0.0000  0.5000  2 Au 2.31

Summary:
The calculation puts the polymorph energy (0 for the lowest one) at 0.517 eV/atom. Its space-group type is P4/mmm, No. 123.


DFT (PBE with a Hubbard U) results for a geometry-optimized MnAuNF2 structure.

a = 4.0579 Å, b = 4.0579 Å, c = 4.0108 Å
α = 90.00°, β = 90.00°, γ = 90.00°
With the nearest neighbours (Å) after each atom.
Fractional coordinates of all 5 atoms:
Mn  0.0000  0.0000  0.0000  2 N 2.01, 4 F 2.03
Au  0.5000  0.5000  0.5000  8 F 2.85, 4 N 2.87
N  0.0000  0.0000  0.5000  2 Mn 2.01
F  0.0000  0.5000  0.0000  2 Mn 2.03
F  0.5000  0.0000  0.0000  2 Mn 2.03

Summary:
The calculation puts the polymorph energy (0 for the lowest one) at 0.000 eV/atom. Its space-group type is P4/mmm, No. 123.


DFT (PBE with a Hubbard U) results for a geometry-optimized MnAuN2F structure.

a = 3.9486 Å, b = 3.9486 Å, c = 4.9921 Å
α = 90.00°, β = 90.00°, γ = 90.00°
With the nearest neighbours (Å) after each atom.
Fractional coordinates of all 5 atoms:
Mn  0.0000  0.0000  0.0000  4 F 2.79
Au  0.5000  0.5000  0.5000  4 N 1.97
N  0.0000  0.5000  0.5000  2 Au 1.97
N  0.5000  0.0000  0.5000  2 Au 1.97
F  0.5000  0.5000  0.0000  2 Au 2.50, 4 Mn 2.79

Summary:
The calculation puts the polymorph energy (0 for the lowest one) at 0.053 eV/atom. Its space-group type is P4/mmm, No. 123.


DFT (PBE with a Hubbard U) results for a geometry-optimized Na2MnAuF6 structure.

a = 6.1098 Å, b = 6.1098 Å, c = 6.1098 Å
α = 60.00°, β = 60.00°, γ = 60.00°
With the nearest neighbours (Å) after each atom.
Fractional coordinates of all 10 atoms:
Na  0.2500  0.2500  0.2500  12 F 3.06
Na  0.7500  0.7500  0.7500  12 F 3.06
Mn  0.0000  0.0000  0.0000  6 F 2.02
Au  0.5000  0.5000  0.5000  6 F 2.30
F  0.2335  0.2335  0.7665  1 Mn 2.02
F  0.2335  0.7665  0.2335  1 Mn 2.02
F  0.2335  0.7665  0.7665  1 Mn 2.02
F  0.7665  0.2335  0.2335  1 Mn 2.02
F  0.7665  0.2335  0.7665  1 Mn 2.02
F  0.7665  0.7665  0.2335  1 Mn 2.02

Summary:
Its space-group type is Fm-3m, No. 225.


DFT (PBE with a Hubbard U) results for a geometry-optimized MnAuOF2 structure.

a = 4.4215 Å, b = 4.4215 Å, c = 4.1201 Å
α = 90.00°, β = 90.00°, γ = 90.00°
With the nearest neighbours (Å) after each atom.
Fractional coordinates of all 5 atoms:
Mn  0.0000  0.0000  0.0000  8 F 3.02, 4 O 3.13
Au  0.5000  0.5000  0.5000  2 O 2.06, 4 F 2.21
O  0.5000  0.5000  0.0000  2 Au 2.06
F  0.0000  0.5000  0.5000  2 Au 2.21
F  0.5000  0.0000  0.5000  2 Au 2.21

Summary:
The calculation puts the polymorph energy (0 for the lowest one) at 0.653 eV/atom. Its space-group type is P4/mmm, No. 123.


no.,VASP energy (eV/atom)
1,-4.879
2,-4.496
3,-5.013
4,-4.826
5,-4.491
6,-4.407